A relaxed Ba5Sb2AsI crystal, computed with GGA-PBE.

Raw formation energy   -1.066 eV per atom
Electronic total energy   -67.306 eV/cell

Cell: 6.0171 8.6131 17.5184 Å, 90.00 90.00 90.00°
Space group Immm (No. 71)
Unique sites:
1 Ba 0.0000 0.0000 0.0000 [2 per cell]
2 Ba 0.0000 0.2707 0.3508 [8 per cell]
3 Sb 0.0000 0.0000 0.2019 [4 per cell]
4 As 0.0000 0.5000 0.5000 [2 per cell]
5 I 0.0000 0.5000 0.0000 [2 per cell]